PBE+U AcCrClO4, relaxed; final energy = -6.845 eV/atom; M_tot = 0.00 μB per atom; calculated volume = 139.94 Å³/f.u.
1.0
-4.939 -3.005 -3.086
-2.462 -4.532 4.042
-5.578 3.415 2.670
Ac Cr Cl O
2 2 2 8
Cartesian
-6.507 1.254 2.529
-6.473 -5.375 1.097
-8.845 -2.278 2.585
-4.134 -1.843 1.041
-1.491 0.629 0.653
-11.488 -4.750 2.973
-4.884 -0.486 1.593
-8.095 -3.635 2.034
-2.718 -2.165 1.912
-5.168 -3.116 1.128
-9.409 -2.482 4.168
-3.570 -1.639 -0.542
-7.812 -1.005 2.499
-10.261 -1.956 1.715